Entry 1:
The following is a GGA-PBE calculation of a relaxed structure of PrY2Sc, from Alexandria via LeMat-Bulk.

Results
- Mass density: 4.830 g/cm³
- Crystal system: trigonal

```
data_PrY2Sc
_chemical_formula_sum 'Pr3 Y6 Sc3'
_symmetry_space_group_name_H-M 'R 3 m'
_symmetry_Int_Tables_number 160
_symmetry_space_group_name_Hall 'R 3 -2"'
_cell_length_a 3.5615
_cell_length_b 3.5615
_cell_length_c 34.1429
_cell_angle_alpha 90.00
_cell_angle_beta 90.00
_cell_angle_gamma 120.00
loop_
_atom_site_label
_atom_site_type_symbol
_atom_site_fract_x
_atom_site_fract_y
_atom_site_fract_z
Pr1 Pr 0.0000 0.0000 0.0000
Y1 Y 0.0000 0.0000 0.2458
Y2 Y 0.0000 0.0000 0.4219
Sc1 Sc 0.0000 0.0000 0.8343
```

***

Entry 2:
The following is a GGA-PBE calculation of a relaxed structure of PrY2Sc, from Alexandria via LeMat-Bulk.

Results
- Mass density: 4.854 g/cm³
- Crystal system: tetragonal

```
data_PrY2Sc
_chemical_formula_sum 'Pr1 Y2 Sc1'
_symmetry_space_group_name_H-M 'P 4/m m m'
_symmetry_Int_Tables_number 123
_symmetry_space_group_name_Hall '-P 4 2'
_cell_length_a 4.959
_cell_length_b 4.959
_cell_length_c 5.058
_cell_angle_alpha 90.00
_cell_angle_beta 90.00
_cell_angle_gamma 90.00
loop_
_atom_site_label
_atom_site_type_symbol
_atom_site_fract_x
_atom_site_fract_y
_atom_site_fract_z
Pr1 Pr 0.000 0.000 0.000
Y1 Y 0.000 0.500 0.500
Sc1 Sc 0.500 0.500 0.000
```

***

What did we get for DFT formation energy? Answer: 0.05; 0.05 eV per atom, in the order shown.